No. 1
Compound: MgCoSiIr
Source: OQMD via LeMat-Bulk
Functional: PBE-GGA
Structure: relaxed

The structure in POSCAR format:
```
MgCoSiIr
1.0
0.000 2.943 2.943
2.943 0.000 2.943
2.943 2.943 0.000
Mg Co Si Ir
1 1 1 1
direct
0.000 0.000 0.000 Mg
0.750 0.750 0.750 Co
0.500 0.500 0.500 Si
0.250 0.250 0.250 Ir
```

E above lowest polymorph   0 meV/atom
Crystal system   cubic

=====

No. 2
Compound: TbSnAsO
Source: OQMD via LeMat-Bulk
Functional: PBE-GGA
Structure: relaxed

The structure in POSCAR format:
```
TbSnAsO
1.0
4.892 0.000 0.000
0.000 6.190 0.000
0.000 0.000 6.343
Tb Sn As O
2 2 2 2
direct
0.000 0.159 0.000 Tb
0.000 0.841 0.500 Tb
0.500 0.255 0.364 Sn
0.500 0.745 0.864 Sn
0.500 0.281 0.790 As
0.500 0.719 0.290 As
0.000 0.147 0.345 O
0.000 0.853 0.845 O
```

E above lowest polymorph   140 meV/atom
Crystal system   orthorhombic

=====

No. 3
Compound: NdHo2In
Source: OQMD via LeMat-Bulk
Functional: PBE-GGA
Structure: relaxed

The structure in POSCAR format:
```
NdHo2In
1.0
4.891 0.000 0.000
0.000 4.891 0.000
0.000 0.000 4.837
Nd Ho In
1 2 1
direct
0.000 0.000 0.000 Nd
0.000 0.500 0.500 Ho
0.500 0.000 0.500 Ho
0.500 0.500 0.000 In
```

Crystal system   tetragonal
Uncorrected energy   -4.429 eV/atom

=====

No. 4
Compound: Y2Ga9Co3
Source: OQMD via LeMat-Bulk
Functional: PBE-GGA
Structure: relaxed

The structure in POSCAR format:
```
Y2Ga9Co3
1.0
6.351 -3.687 0.000
6.351 3.687 0.000
0.000 0.000 9.423
Y Ga Co
4 18 6
direct
0.003 0.668 0.750 Y
0.332 0.997 0.750 Y
0.668 0.003 0.250 Y
0.997 0.332 0.250 Y
0.001 0.666 0.071 Ga
0.001 0.666 0.429 Ga
0.122 0.878 0.250 Ga
0.334 0.666 0.557 Ga
0.334 0.666 0.943 Ga
0.334 0.999 0.071 Ga
0.334 0.999 0.429 Ga
0.336 0.451 0.250 Ga
0.451 0.336 0.750 Ga
0.549 0.664 0.250 Ga
0.664 0.549 0.750 Ga
0.666 0.001 0.571 Ga
0.666 0.001 0.929 Ga
0.666 0.334 0.057 Ga
0.666 0.334 0.443 Ga
0.878 0.122 0.750 Ga
0.999 0.334 0.571 Ga
0.999 0.334 0.929 Ga
0.000 0.000 0.000 Co
0.000 0.000 0.500 Co
0.329 0.329 0.000 Co
0.329 0.329 0.500 Co
0.671 0.671 0.000 Co
0.671 0.671 0.500 Co
```

Crystal system   orthorhombic
Uncorrected energy   -4.882 eV/atom

=====

No. 5
Compound: Ba2CuSi2Ni3
Source: OQMD via LeMat-Bulk
Functional: PBE-GGA
Structure: relaxed

The structure in POSCAR format:
```
Ba2CuSi2Ni3
1.0
4.089 0.000 0.000
-2.045 3.542 0.000
0.000 0.000 11.263
Ba Cu Si Ni
2 1 2 3
direct
0.000 0.000 0.000 Ba
0.333 0.667 0.510 Ba
0.333 0.667 0.223 Cu
0.667 0.333 0.264 Si
0.667 0.333 0.757 Si
0.000 0.000 0.284 Ni
0.000 0.000 0.726 Ni
0.333 0.667 0.788 Ni
```

Crystal system   trigonal
Uncorrected energy   -4.769 eV/atom

=====

No. 6
Compound: Pr2ErAl7Cu2
Source: OQMD via LeMat-Bulk
Functional: PBE-GGA
Structure: relaxed

The structure in POSCAR format:
```
Pr2ErAl7Cu2
1.0
2.787 1.609 8.600
-2.787 1.609 8.600
0.000 -3.218 8.600
Pr Er Al Cu
2 1 7 2
direct
0.141 0.141 0.141 Pr
0.859 0.859 0.859 Pr
0.000 0.000 0.000 Er
0.071 0.579 0.579 Al
0.421 0.421 0.929 Al
0.421 0.929 0.421 Al
0.500 0.500 0.500 Al
0.579 0.071 0.579 Al
0.579 0.579 0.071 Al
0.929 0.421 0.421 Al
0.335 0.335 0.335 Cu
0.665 0.665 0.665 Cu
```

Crystal system   trigonal
Uncorrected energy   -4.432 eV/atom

=====

Please write out number 6 again, unchanged.
Compound: Pr2ErAl7Cu2
Source: OQMD via LeMat-Bulk
Functional: PBE-GGA
Structure: relaxed

The structure in POSCAR format:
```
Pr2ErAl7Cu2
1.0
2.787 1.609 8.600
-2.787 1.609 8.600
0.000 -3.218 8.600
Pr Er Al Cu
2 1 7 2
direct
0.141 0.141 0.141 Pr
0.859 0.859 0.859 Pr
0.000 0.000 0.000 Er
0.071 0.579 0.579 Al
0.421 0.421 0.929 Al
0.421 0.929 0.421 Al
0.500 0.500 0.500 Al
0.579 0.071 0.579 Al
0.579 0.579 0.071 Al
0.929 0.421 0.421 Al
0.335 0.335 0.335 Cu
0.665 0.665 0.665 Cu
```

Crystal system   trigonal
Uncorrected energy   -4.432 eV/atom